The following is a GGA-PBEsol calculation of crystalline Li2NiIr at its relaxed geometry, from the Alexandria database.

Cell and atoms, written as POSCAR:
```
Li2NiIr
1.0
4.0709 0.0000 0.0000
2.0355 3.5255 0.0000
2.0355 1.1752 3.3239
Ir Ni Li
1 1 2
direct
0.5000 0.5000 0.5000
0.2500 0.2500 0.2500
0.0000 0.0000 0.0000
0.7500 0.7500 0.7500
```

Energy above the lowest structure with this stoichiometry ... 0.200 eV per atom
Total magnetization ... 0.389 μB per atom
Calculated formation energy ... 0.25 eV per formula unit
DOS(E_F) ... 4.0 states/eV per cell

The following is a GGA-PBEsol calculation of crystalline LiNi2Ir at its relaxed geometry, from the Alexandria database.

Cell and atoms, written as POSCAR:
```
LiNi2Ir
1.0
2.5447 -0.0115 0.0000
-1.1530 2.2685 0.0000
0.0000 0.0000 8.4467
Ni Li Ir
2 1 1
direct
0.0000 0.0000 0.9924
0.5000 0.5000 0.7607
0.5000 0.5000 0.2421
0.0000 0.0000 0.5048
```

Total magnetization ... 0.328 μB per atom
Calculated formation energy ... 0.52 eV per formula unit
DOS(E_F) ... 5.3 states/eV per cell

The following is a GGA-PBEsol calculation of crystalline LiNi2Ir at its relaxed geometry, from the Alexandria database.

Cell and atoms, written as POSCAR:
```
LiNi2Ir
1.0
2.5559 0.0000 0.0000
0.0000 4.1546 0.0000
0.0000 0.0000 4.3602
Ni Ir Li
2 1 1
direct
0.0000 0.5000 0.6938
0.0000 0.0000 0.0580
0.5000 0.0000 0.5604
0.5000 0.5000 0.1878
```

Total magnetization ... 0.000 μB per atom
Calculated formation energy ... -0.31 eV per formula unit
DOS(E_F) ... 4.9 states/eV per cell

The following is a GGA-PBEsol calculation of crystalline Li2NiIr at its relaxed geometry, from the Alexandria database.

Cell and atoms, written as POSCAR:
```
Li2NiIr
1.0
-0.1689 -2.2442 -1.2505
3.9475 0.6380 -1.6780
-0.1355 -1.2028 4.8274
Li Ni Ir
2 1 1
direct
0.7619 0.7619 0.5238
0.2381 0.2381 0.4762
0.5000 0.0000 0.0000
0.0000 0.5000 0.0000
```

Energy above the lowest structure with this stoichiometry ... 0.017 eV per atom
Total magnetization ... 0.000 μB per atom
Calculated formation energy ... -0.48 eV per formula unit
DOS(E_F) ... 2.7 states/eV per cell